PuSc4Cd after structural relaxation, computed with PBE.

The structure belongs to space group P4/mmm (No. 123); the cell edges are 3.3153, 3.3153 and 13.0922 Å and the angles 90.00°, 90.00° and 90.00°. Symmetry generates all atoms from Pu at (0.0000, 0.0000, 0.0000), Sc at (0.0000, 0.0000, 0.3445), Sc at (0.5000, 0.5000, 0.1737) and Cd at (0.5000, 0.5000, 0.5000).

For the calculated formation energy, the calculation gives -0.0412 eV per atom.



NdHoBi2 after structural relaxation, computed with PBE.

The structure belongs to space group R-3m (No. 166, hexagonal axes); the cell edges are 4.5393, 4.5393 and 22.1887 Å and the angles 90.00°, 90.00° and 120.00°. Symmetry generates all atoms from Nd at (0.0000, 0.0000, 0.0000), Ho at (0.0000, 0.0000, 0.5000) and Bi at (0.0000, 0.0000, 0.2467).

For the calculated formation energy, the calculation gives -0.8898 eV per atom.



Zr2Zn3Ga3 after structural relaxation, computed with PBE.

The structure belongs to space group Pmmm (No. 47); the cell edges are 4.0294, 4.0563 and 8.2595 Å and the angles 90.00°, 90.00° and 90.00°. Symmetry generates all atoms from Zr at (0.0000, 0.0000, 0.2460), Zn at (0.0000, 0.5000, 0.0000), Zn at (0.0000, 0.5000, 0.5000), Zn at (0.5000, 0.0000, 0.5000), Ga at (0.5000, 0.0000, 0.0000) and Ga at (0.5000, 0.5000, 0.2586).

For the calculated formation energy, the calculation gives -0.4665 eV per atom.



TiGaSe3 after structural relaxation, computed with PBE.

The structure belongs to space group Cmc2_1 (No. 36); the cell edges are 3.7475, 22.4500 and 6.6948 Å and the angles 90.00°, 90.00° and 90.00°. Symmetry generates all atoms from Ti at (0.0000, 0.1140, 0.0000), Ga at (0.0000, 0.3468, 0.8931), Se at (0.0000, 0.1241, 0.6499), Se at (0.0000, 0.2071, 0.1828) and Se at (0.0000, 0.4403, 0.6580).

The formation energy (no corrections) is -0.6696 eV per atom.



ZnPOs after structural relaxation, computed with PBE.

The structure belongs to space group Fmm2 (No. 42); the cell edges are 2.9028, 4.9001 and 12.8886 Å and the angles 90.00°, 90.00° and 90.00°. Symmetry generates all atoms from Zn at (0.0000, 0.0000, 0.0000), P at (0.0000, 0.0000, 0.3111) and Os at (0.0000, 0.0000, 0.6720).

For the calculated formation energy, the calculation gives 0.3436 eV per atom.



Total magnetic moment / μB per formula unit: 4.7 0.0 0.0 0.0 0.0
Density / Mg/m³: 6.2 9.1 7.2 4.2 10.4